1.
# PaPdRh2

A relaxed PaPdRh2 crystal (GGA-PBE, Alexandria).

Unit cell a=3.5972 b=5.0958 c=8.2824 alpha=90.00 beta=102.54 gamma=90.00
With the nearest neighbours (Å) after each atom.
Fractional positions:
Pd 0.1450 0.2500 0.7901  6 Rh 2.67-2.87
Rh 0.0000 0.5000 0.5000  2 Rh 2.55, 2 Pd 2.67, 4 Pa 2.84
Pa 0.3891 0.2500 0.2783  6 Rh 2.60-2.84
Pa 0.6109 0.7500 0.7217  6 Rh 2.60-2.84
Rh 0.0000 0.0000 0.5000  2 Rh 2.55, 2 Pd 2.67, 4 Pa 2.84
Rh 0.2273 0.7500 0.9545  2 Pa 2.60, 4 Pd 2.74-2.87
Pd 0.8550 0.7500 0.2099  6 Rh 2.67-2.87
Rh 0.7727 0.2500 0.0455  2 Pa 2.60, 4 Pd 2.74-2.87

Summary:
Formation energy in eV per atom: -0.570
Magnetic moment in μB/f.u.: 0.000
Crystal system: orthorhombic

2.
# PaPdRh

A relaxed PaPdRh crystal (GGA-PBE, Alexandria).

Unit cell a=3.7750 b=6.0649 c=6.0649 alpha=69.41 beta=71.87 gamma=71.87
With the nearest neighbours (Å) after each atom.
Fractional positions:
Pa 0.5000 0.2622 0.7378  4 Rh 2.84, 4 Pd 2.95
Rh 0.8543 0.6457 0.6457  2 Pd 2.68, 1 Rh 2.69, 4 Pa 2.84
Rh 0.1457 0.3543 0.3543  2 Pd 2.68, 1 Rh 2.69, 4 Pa 2.84
Pa 0.5000 0.7378 0.2622  4 Rh 2.84, 4 Pd 2.95
Pd 0.1475 0.8525 0.8525  2 Rh 2.68, 1 Pd 2.72, 4 Pa 2.95
Pd 0.8525 0.1475 0.1475  2 Rh 2.68, 1 Pd 2.72, 4 Pa 2.95

Summary:
Formation energy in eV per atom: -0.575
Magnetic moment in μB/f.u.: 0.000
Crystal system: orthorhombic